# 1
Below is a geometry-optimized Tl2InAu structure, with properties calculated at the GGA-PBE level.

formation enthalpy at 0 K: 45 meV per atom
ΔE to the lowest computed polymorph: 0.092 eV/atom

a b c (Å): 4.6418 4.6418 9.7413
angles (deg): 90.00 90.00 90.00
Last column: nearest neighbours and their distance in Å.
Space group I4/mmm (No. 139)
Symmetry-distinct sites (fractional):
Tl1 0.0000 0.5000 0.2500 x4  4 Tl 3.28, 4 In 3.36, 4 Au 3.36
In1 0.0000 0.0000 0.0000 x2  4 Au 3.28, 8 Tl 3.36
Au1 0.0000 0.0000 0.5000 x2  4 In 3.28, 8 Tl 3.36


# 2
Below is a geometry-optimized NbHS structure, with properties calculated at the GGA-PBE level.

final energy: -6.1781 eV per atom

a b c (Å): 3.2857 3.5750 8.3445
angles (deg): 90.00 92.57 90.00
Last column: nearest neighbours and their distance in Å.
Space group P2_1/m (No. 11)
Symmetry-distinct sites (fractional):
Nb1 0.1784 0.2500 0.1220 x2  4 H 1.99-2.16
H1 0.3057 0.7500 0.0301 x2  4 Nb 1.99-2.16
S1 0.2788 0.7500 0.6728 x2  2 Nb 2.33-2.42


# 3
Below is a geometry-optimized TeAsPdN2 structure, with properties calculated at the GGA-PBE level.

raw formation energy: 33.0 kcal/mol of atoms
ΔE to the lowest computed polymorph: 0.204 eV/atom

a b c (Å): 4.0354 4.0354 5.8030
angles (deg): 90.00 90.00 90.00
Last column: nearest neighbours and their distance in Å.
Space group P4/mmm (No. 123)
Symmetry-distinct sites (fractional):
Te1 0.0000 0.0000 0.0000 x1  4 As 2.85, 2 Pd 2.90
As1 0.5000 0.5000 0.0000 x1  4 Te 2.85
Pd1 0.0000 0.0000 0.5000 x1  4 N 2.02
N1 0.0000 0.5000 0.5000 x2  2 Pd 2.02


# 4
Below is a geometry-optimized Ti2GaTe4 structure, with properties calculated at the GGA-PBE level.

raw formation energy: -13.1 kcal/mol of atoms

a b c (Å): 17.2359 3.8202 6.6128
angles (deg): 90.00 111.93 90.00
Last column: nearest neighbours and their distance in Å.
Space group C2/m (No. 12)
Symmetry-distinct sites (fractional):
Ti1 0.2488 0.0000 0.2380 x4  6 Te 2.78-2.81
Ga1 0.0000 0.5000 0.5000 x2  6 Te 3.18-3.19
Te1 0.1399 0.5000 0.9772 x4  3 Ti 2.78
Te2 0.1454 0.0000 0.4810 x4  3 Ti 2.81


# 5
Below is a geometry-optimized HfThRu structure, with properties calculated at the GGA-PBE level.

formation enthalpy at 0 K: -364 meV per atom
ΔE to the lowest computed polymorph: 0.000 eV/atom

a b c (Å): 7.9358 13.7028 7.4629
angles (deg): 90.00 90.00 90.00
Last column: nearest neighbours and their distance in Å.
Space group Ima2 (No. 46)
Symmetry-distinct sites (fractional):
Hf1 0.0000 0.0000 0.0000 x4  4 Ru 2.76-3.07, 2 Hf 3.07
Hf2 0.0273 0.1227 0.6572 x8  3 Ru 2.66-2.80
Th1 0.2500 0.2030 0.9965 x4  4 Ru 2.95-3.09, 4 Hf 3.20-3.28
Th2 0.2500 0.5134 0.8478 x4  5 Ru 2.91-3.08
Th3 0.2500 0.7150 0.4925 x4  5 Ru 3.08-3.18, 2 Hf 3.36
Ru1 0.0098 0.1600 0.2885 x8  3 Hf 2.80-3.14, 6 Th 2.91-3.11
Ru2 0.2500 0.5252 0.2476 x4  6 Hf 2.66-2.77


# 6
Below is a geometry-optimized CsAgAsSe2 structure, with properties calculated at the GGA-PBE level.

raw formation energy: -6.4 kcal/mol of atoms
ΔE to the lowest computed polymorph: 0.000 eV/atom

a b c (Å): 7.5894 16.4148 5.3543
angles (deg): 90.00 90.00 90.00
Last column: nearest neighbours and their distance in Å.
Space group Cmme (No. 67)
Symmetry-distinct sites (fractional):
Cs1 0.0000 0.2500 0.1833 x4  4 Se 3.47-3.64
Ag1 0.0000 0.0000 0.0000 x4  2 Se 2.53
As1 0.2500 0.0000 0.5000 x4  4 Se 2.73
Se1 0.0000 0.1076 0.6619 x8  1 Ag 2.53, 2 As 2.73